Entry 1:
Hf2ZnCo after structural relaxation, computed with PBE-GGA.

POSCAR file:
```
Hf2ZnCo
1.0
7.210 0.000 0.000
0.000 7.210 0.000
3.605 3.605 2.810
Co Zn Hf
2 2 4
direct
0.500 0.500 0.000
0.250 0.750 0.500
0.000 0.000 0.000
0.750 0.250 0.500
0.580 0.125 0.250
0.170 0.625 0.250
0.375 0.420 0.750
0.875 0.830 0.750
```

Calculated values
Formation energy from the elements   0.164 eV/atom
Space group   I-42d (122)
ΔE to the lowest computed polymorph   445 meV per atom
Magnetic moment   0.00 μB per atom



Entry 2:
AlTl2CoBi after structural relaxation, computed with PBE-GGA.

POSCAR file:
```
AlTl2CoBi
1.0
5.437 0.000 0.000
0.000 4.562 0.000
0.000 0.000 5.437
Tl Co Bi Al
2 1 1 1
direct
0.000 0.000 0.500
0.500 0.000 0.000
0.000 0.500 0.000
0.500 0.500 0.500
0.000 0.000 0.000
```

Calculated values
Formation energy from the elements   0.638 eV/atom
Space group   P4/mmm (123)
Magnetic moment   0.24 μB per atom



Entry 3:
CdBPd4 after structural relaxation, computed with PBE-GGA.

POSCAR file:
```
CdBPd4
1.0
4.860 0.000 -0.419
0.000 5.643 0.000
-1.876 -2.822 6.650
Cd B Pd
2 2 8
direct
0.806 0.806 0.613
0.194 0.194 0.387
0.317 0.500 0.000
0.683 0.500 0.000
0.189 0.689 0.378
0.386 0.133 0.771
0.000 0.245 0.000
0.614 0.362 0.229
0.811 0.311 0.622
0.614 0.867 0.229
0.000 0.755 0.000
0.386 0.638 0.771
```

Calculated values
Formation energy from the elements   -0.269 eV/atom
Space group   Immm (71)
ΔE to the lowest computed polymorph   0 meV per atom
Magnetic moment   0.00 μB per atom



Entry 4:
Cu2NiS after structural relaxation, computed with PBE-GGA.

POSCAR file:
```
Cu2NiS
1.0
-3.641 -3.177 -4.909
4.923 -4.785 -0.555
-0.399 -5.235 -1.149
Ni S Cu
2 2 4
direct
0.000 0.000 0.000
0.750 0.250 0.500
0.500 0.500 0.000
0.250 0.750 0.500
0.578 0.125 0.250
0.172 0.625 0.250
0.375 0.422 0.750
0.875 0.828 0.750
```

Calculated values
Space group   I-42d (122)
Formation energy without anion corrections   174 meV/atom
Magnetic moment   0.00 μB per atom



For each record above, in turn, the calculated volume values are 18.3, 27.0, 14.8, 13.5 Å³ per atom.
For each record above, in turn, the calculated energy values are -55.3, -16.3, -60.0, -34.8 eV/cell.